Arrangement 1

# NbHI3

A relaxed NbHI3 crystal (GGA-PBE, the Alexandria database).

Properties
Density of states at the Fermi level   0.6 states/eV/f.u.
V   535.3 Å³/cell
Magnetic moment   0.000 μB per atom

Unit cell a=9.3071 b=9.0188 c=7.2685 alpha=90.00 beta=118.67 gamma=90.00
With the nearest neighbours (Å) after each atom.
Space group C2/m (No. 12)
Unique sites:
1 Nb 0.1155 0.0000 0.3947  2 H 1.84-1.86
2 H 0.0927 0.0000 0.6354  2 Nb 1.84-1.86, 1 H 1.90
3 I 0.0887 0.3183 0.3023  2 Nb 2.93-3.05, 1 H 3.22, 2 I 3.24-3.28
4 I 0.1885 0.0000 0.0182  1 H 2.48

***

Arrangement 2

# NbHI3

A relaxed NbHI3 crystal (GGA-PBE, the Alexandria database).

Properties
Density of states at the Fermi level   3.2 states/eV/f.u.
V   126.1 Å³/cell
Magnetic moment   0.538 μB per atom

Unit cell a=5.0147 b=5.0147 c=5.0147 alpha=90.00 beta=90.00 gamma=90.00
With the nearest neighbours (Å) after each atom.
Space group Pm-3m (No. 221)
Unique sites:
1 Nb 0.0000 0.0000 0.0000  12 I 3.55
2 H 0.5000 0.5000 0.5000  6 I 2.51
3 I 0.0000 0.5000 0.5000  2 H 2.51

***

Of them, the most stable is arrangement 1 and the least stable is arrangement 2.

***

Arrangement 1

# NbHIO2

A relaxed NbHIO2 crystal (GGA-PBE, the Alexandria database).

Properties
Density of states at the Fermi level   2.5 states/eV/f.u.
V   59.6 Å³/cell
Magnetic moment   0.000 μB per atom

Unit cell a=4.1933 b=4.1933 c=3.3886 alpha=90.00 beta=90.00 gamma=90.00
With the nearest neighbours (Å) after each atom.
Space group P4/mmm (No. 123)
Unique sites:
1 Nb 0.0000 0.0000 0.0000  8 O 2.70, 4 I 2.97
2 H 0.5000 0.5000 0.5000  2 I 1.69
3 I 0.5000 0.5000 0.0000  2 H 1.69
4 O 0.0000 0.5000 0.5000  2 H 2.10

***

Arrangement 2

# NbHIO2

A relaxed NbHIO2 crystal (GGA-PBE, the Alexandria database).

Properties
Density of states at the Fermi level   1.8 states/eV/f.u.
V   89.5 Å³/cell
Magnetic moment   0.119 μB per atom

Unit cell a=3.9123 b=3.9123 c=5.8463 alpha=90.00 beta=90.00 gamma=90.00
With the nearest neighbours (Å) after each atom.
Space group P4/mmm (No. 123)
Unique sites:
1 Nb 0.0000 0.0000 0.0000  4 O 1.96
2 H 0.5000 0.5000 0.5000  4 I 2.77
3 I 0.0000 0.0000 0.5000  4 H 2.77, 2 Nb 2.92
4 O 0.0000 0.5000 0.0000  2 Nb 1.96

***

Of them, the most stable is arrangement 2 and the least stable is arrangement 1.

***

Arrangement 1

# NbSbHI2

A relaxed NbSbHI2 crystal (GGA-PBE, the Alexandria database).

Properties
Density of states at the Fermi level   3.8 states/eV/f.u.
V   115.1 Å³/cell
Magnetic moment   0.522 μB per atom

Unit cell a=5.4518 b=5.4518 c=3.8720 alpha=90.00 beta=90.00 gamma=90.00
With the nearest neighbours (Å) after each atom.
Space group P4/mmm (No. 123)
Unique sites:
1 Nb 0.0000 0.0000 0.0000  8 I 3.34
2 Sb 0.5000 0.5000 0.0000  2 H 1.94
3 H 0.5000 0.5000 0.5000  2 Sb 1.94
4 I 0.0000 0.5000 0.5000  2 H 2.73

***

Arrangement 2

# NbSbHI2

A relaxed NbSbHI2 crystal (GGA-PBE, the Alexandria database).

Properties
Density of states at the Fermi level   4.3 states/eV/f.u.
V   172.2 Å³/cell
Magnetic moment   0.171 μB per atom

Unit cell a=5.6523 b=5.6523 c=5.3914 alpha=90.00 beta=90.00 gamma=90.00
With the nearest neighbours (Å) after each atom.
Space group P4/mmm (No. 123)
Unique sites:
1 Nb 0.0000 0.0000 0.0000  2 Sb 2.70, 4 I 2.83
2 Sb 0.0000 0.0000 0.5000  2 Nb 2.70
3 H 0.5000 0.5000 0.5000  8 I 3.91, 4 Sb 4.00
4 I 0.0000 0.5000 0.0000  2 Nb 2.83

***

Of them, the most stable is arrangement 2 and the least stable is arrangement 1.

***

Arrangement 1

# NbTeHI2

A relaxed NbTeHI2 crystal (GGA-PBE, the Alexandria database).

Properties
Density of states at the Fermi level   2.7 states/eV/f.u.
V   120.8 Å³/cell
Magnetic moment   0.499 μB per atom

Unit cell a=5.6049 b=5.6049 c=3.8469 alpha=90.00 beta=90.00 gamma=90.00
With the nearest neighbours (Å) after each atom.
Space group P4/mmm (No. 123)
Unique sites:
1 Nb 0.0000 0.0000 0.0000  8 I 3.40
2 Te 0.5000 0.5000 0.0000  2 H 1.92
3 H 0.5000 0.5000 0.5000  2 Te 1.92
4 I 0.0000 0.5000 0.5000  2 H 2.80

***

Arrangement 2

# NbTeHI2

A relaxed NbTeHI2 crystal (GGA-PBE, the Alexandria database).

Properties
Density of states at the Fermi level   1.9 states/eV/f.u.
V   174.2 Å³/cell
Magnetic moment   0.199 μB per atom

Unit cell a=5.6996 b=5.6996 c=5.3614 alpha=90.00 beta=90.00 gamma=90.00
With the nearest neighbours (Å) after each atom.
Space group P4/mmm (No. 123)
Unique sites:
1 Nb 0.0000 0.0000 0.0000  2 Te 2.68, 4 I 2.85
2 Te 0.0000 0.0000 0.5000  2 Nb 2.68
3 H 0.5000 0.5000 0.5000  8 I 3.91, 4 Te 4.03
4 I 0.0000 0.5000 0.0000  2 Nb 2.85

***

Of them, the most stable is arrangement 2 and the least stable is arrangement 1.

***

Arrangement 1

# NiHI

A relaxed NiHI crystal (GGA-PBE, the Alexandria database).

Properties
Density of states at the Fermi level   1.5 states/eV/f.u.
V   119.0 Å³/cell
Magnetic moment   0.000 μB per atom

Unit cell a=3.3254 b=5.1786 c=7.3195 alpha=104.07 beta=102.94 gamma=90.03
With the nearest neighbours (Å) after each atom.
Space group P-1 (No. 2)
Unique sites:
1 Ni 0.2463 0.1840 0.4901  1 H 1.56
2 H 0.2056 0.8769 0.4030  1 Ni 1.56
3 I 0.3708 0.6501 0.7468  3 Ni 2.64-2.66

***

Arrangement 2

# NiHI

A relaxed NiHI crystal (GGA-PBE, the Alexandria database).

Properties
Density of states at the Fermi level   0.1 states/eV/f.u.
V   228.9 Å³/cell
Magnetic moment   0.000 μB per atom

Unit cell a=6.9594 b=4.3685 c=7.5296 alpha=90.00 beta=90.00 gamma=90.00
With the nearest neighbours (Å) after each atom.
Space group Pnma (No. 62)
Unique sites:
1 Ni 0.1928 0.2500 0.0657  1 H 1.45
2 H 0.1037 0.7500 0.5221  1 Ni 1.45
3 I 0.1800 0.7500 0.8799  4 Ni 2.53-2.63, 1 H 2.75

***

Of them, the most stable is arrangement 1 and the least stable is arrangement 2.

***

Arrangement 1

# NiHI

A relaxed NiHI crystal (GGA-PBE, the Alexandria database).

Properties
Density of states at the Fermi level   2.0 states/eV/f.u.
V   223.7 Å³/cell
Magnetic moment   0.000 μB per atom

Unit cell a=5.0477 b=7.3659 c=6.0163 alpha=90.00 beta=90.00 gamma=90.00
With the nearest neighbours (Å) after each atom.
Space group Imma (No. 74)
Unique sites:
1 Ni 0.2500 0.2500 0.2500  2 H 1.60
2 H 0.0000 0.2500 0.0856  2 Ni 1.60
3 I 0.0000 0.0000 0.5000  4 Ni 2.69

***

Arrangement 2

# NiHI

A relaxed NiHI crystal (GGA-PBE, the Alexandria database).

Properties
Density of states at the Fermi level   1.3 states/eV/f.u.
V   182.3 Å³/cell
Magnetic moment   0.000 μB per atom

Unit cell a=7.6660 b=3.2999 c=7.2083 alpha=90.00 beta=90.00 gamma=90.00
With the nearest neighbours (Å) after each atom.
Space group Pnma (No. 62)
Unique sites:
1 Ni 0.2443 0.2500 0.0038  2 H 1.68
2 H 0.2475 0.2500 0.4581  2 Ni 1.68
3 I 0.0088 0.7500 0.2485  2 Ni 2.64-2.66, 4 H 2.81-2.89

***

Of them, the most stable is arrangement 1 and the least stable is arrangement 2.

***

Arrangement 1

# NiHI3

A relaxed NiHI3 crystal (GGA-PBE, the Alexandria database).

Properties
V   314.5 Å³/cell
Magnetic moment   0.401 μB per atom

Unit cell a=4.0379 b=7.6867 c=10.2205 alpha=91.42 beta=97.44 gamma=90.30
With the nearest neighbours (Å) after each atom.
Space group P-1 (No. 2)
Unique sites:
1 Ni 0.1897 0.0263 0.3312  6 I 2.73-2.79
2 H 0.2450 0.2062 0.0077  1 I 1.71
3 I 0.1106 0.2898 0.1478  1 H 1.71
4 I 0.2622 0.8001 0.5350  3 Ni 2.73-2.76
5 I 0.3506 0.1574 0.7908  1 H 2.33

***

Arrangement 2

# NiHI3

A relaxed NiHI3 crystal (GGA-PBE, the Alexandria database).

Properties
Density of states at the Fermi level   2.2 states/eV/f.u.
V   749.5 Å³/cell
Magnetic moment   0.139 μB per atom

Unit cell a=12.8413 b=5.1163 c=11.9443 alpha=90.00 beta=107.24 gamma=90.00
With the nearest neighbours (Å) after each atom.
Space group C2/m (No. 12)
Unique sites:
1 Ni 0.1288 0.0000 0.4766  5 I 2.53-2.67
2 H 0.2211 0.5000 0.9169  1 I 1.63
3 I 0.0614 0.0000 0.6660  2 Ni 2.53-2.65
4 I 0.1564 0.0000 0.0973  1 H 1.63
5 I 0.1637 0.5000 0.4335  3 Ni 2.56-2.67

***

Arrangement 3

# NiHI3

A relaxed NiHI3 crystal (GGA-PBE, the Alexandria database).

Properties
Density of states at the Fermi level   4.5 states/eV/f.u.
V   150.9 Å³/cell
Magnetic moment   0.206 μB per atom

Unit cell a=5.3239 b=5.3239 c=5.3239 alpha=90.00 beta=90.00 gamma=90.00
With the nearest neighbours (Å) after each atom.
Space group Pm-3m (No. 221)
Unique sites:
1 Ni 0.0000 0.0000 0.0000  6 I 2.66
2 H 0.5000 0.5000 0.5000  12 I 3.76
3 I 0.0000 0.0000 0.5000  2 Ni 2.66

***

Arrangement 4

# NiHI3

A relaxed NiHI3 crystal (GGA-PBE, the Alexandria database).

Properties
Density of states at the Fermi level   11.7 states/eV/f.u.
V   127.9 Å³/cell
Magnetic moment   0.321 μB per atom

Unit cell a=5.0379 b=5.0379 c=5.0379 alpha=90.00 beta=90.00 gamma=90.00
With the nearest neighbours (Å) after each atom.
Space group Pm-3m (No. 221)
Unique sites:
1 Ni 0.0000 0.0000 0.0000  12 I 3.56
2 H 0.5000 0.5000 0.5000  6 I 2.52
3 I 0.0000 0.5000 0.5000  2 H 2.52

***

Of them, the most stable is arrangement 1 and the least stable is arrangement 4.

***

Arrangement 1

# NiH3I

A relaxed NiH3I crystal (GGA-PBE, the Alexandria database).

Properties
Density of states at the Fermi level   8.1 states/eV/f.u.
V   65.1 Å³/cell
Magnetic moment   0.222 μB per atom

Unit cell a=4.0232 b=4.0232 c=4.0232 alpha=90.00 beta=90.00 gamma=90.00
With the nearest neighbours (Å) after each atom.
Space group Pm-3m (No. 221)
Unique sites:
1 Ni 0.0000 0.0000 0.0000  12 H 2.84
2 H 0.0000 0.5000 0.5000  2 I 2.01
3 I 0.5000 0.5000 0.5000  6 H 2.01

***

Arrangement 2

# NiH3I

A relaxed NiH3I crystal (GGA-PBE, the Alexandria database).

Properties
Density of states at the Fermi level   3.2 states/eV/f.u.
V   50.4 Å³/cell
Magnetic moment   0.000 μB per atom

Unit cell a=3.6929 b=3.6929 c=3.6929 alpha=90.00 beta=90.00 gamma=90.00
With the nearest neighbours (Å) after each atom.
Space group Pm-3m (No. 221)
Unique sites:
1 Ni 0.0000 0.0000 0.0000  6 H 1.85
2 H 0.0000 0.0000 0.5000  2 Ni 1.85
3 I 0.5000 0.5000 0.5000  12 H 2.61

***

Of them, the most stable is arrangement 2 and the least stable is arrangement 1.

***

Arrangement 1

# NiSb2HI

A relaxed NiSb2HI crystal (GGA-PBE, the Alexandria database).

Properties
Density of states at the Fermi level   3.5 states/eV/f.u.
V   139.1 Å³/cell
Magnetic moment   0.180 μB per atom

Unit cell a=4.9096 b=4.9096 c=5.7690 alpha=90.00 beta=90.00 gamma=90.00
With the nearest neighbours (Å) after each atom.
Space group P4/mmm (No. 123)
Unique sites:
1 Ni 0.0000 0.0000 0.0000  4 Sb 2.45
2 Sb 0.0000 0.5000 0.0000  2 Ni 2.45
3 H 0.5000 0.5000 0.5000  4 I 3.47, 8 Sb 3.79
4 I 0.0000 0.0000 0.5000  2 Ni 2.88

***

Arrangement 2

# NiSb2HI

A relaxed NiSb2HI crystal (GGA-PBE, the Alexandria database).

Properties
Density of states at the Fermi level   3.3 states/eV/f.u.
V   108.2 Å³/cell
Magnetic moment   0.102 μB per atom

Unit cell a=4.3111 b=4.3111 c=5.8209 alpha=90.00 beta=90.00 gamma=90.00
With the nearest neighbours (Å) after each atom.
Space group P4/mmm (No. 123)
Unique sites:
1 Ni 0.0000 0.0000 0.0000  4 I 3.05
2 Sb 0.0000 0.5000 0.5000  2 H 2.16
3 H 0.5000 0.5000 0.5000  4 Sb 2.16
4 I 0.5000 0.5000 0.0000  2 H 2.91, 4 Ni 3.05

***

Of them, the most stable is arrangement 1 and the least stable is arrangement 2.

***

Arrangement 1

# NiTe2HI

A relaxed NiTe2HI crystal (GGA-PBE, the Alexandria database).

Properties
Density of states at the Fermi level   6.3 states/eV/f.u.
V   140.6 Å³/cell
Magnetic moment   0.212 μB per atom

Unit cell a=5.0323 b=5.0323 c=5.5501 alpha=90.00 beta=90.00 gamma=90.00
With the nearest neighbours (Å) after each atom.
Space group P4/mmm (No. 123)
Unique sites:
1 Ni 0.0000 0.0000 0.0000  4 Te 2.52, 2 I 2.78
2 Te 0.0000 0.5000 0.0000  2 Ni 2.52
3 H 0.5000 0.5000 0.5000  4 I 3.56, 8 Te 3.75
4 I 0.0000 0.0000 0.5000  2 Ni 2.78

***

Arrangement 2

# NiTe2HI

A relaxed NiTe2HI crystal (GGA-PBE, the Alexandria database).

Properties
Density of states at the Fermi level   7.1 states/eV/f.u.
V   146.7 Å³/cell
Magnetic moment   0.223 μB per atom

Unit cell a=4.2468 b=4.2468 c=8.1364 alpha=90.00 beta=90.00 gamma=90.00
With the nearest neighbours (Å) after each atom.
Space group P4/mmm (No. 123)
Unique sites:
1 Ni 0.0000 0.0000 0.0000  4 I 3.00
2 Te 0.0000 0.5000 0.5000  2 H 2.12
3 H 0.5000 0.5000 0.5000  4 Te 2.12
4 I 0.5000 0.5000 0.0000  4 Ni 3.00

***

Of them, the most stable is arrangement 2 and the least stable is arrangement 1.

***

Arrangement 1

# NiTeHI2

A relaxed NiTeHI2 crystal (GGA-PBE, the Alexandria database).

Properties
Density of states at the Fermi level   6.7 states/eV/f.u.
V   120.6 Å³/cell
Magnetic moment   0.176 μB per atom

Unit cell a=5.6234 b=5.6234 c=3.8150 alpha=90.00 beta=90.00 gamma=90.00
With the nearest neighbours (Å) after each atom.
Space group P4/mmm (No. 123)
Unique sites:
1 Ni 0.0000 0.0000 0.0000  8 I 3.40
2 Te 0.5000 0.5000 0.0000  2 H 1.91
3 H 0.5000 0.5000 0.5000  2 Te 1.91
4 I 0.0000 0.5000 0.5000  2 H 2.81

***

Arrangement 2

# NiTeHI2

A relaxed NiTeHI2 crystal (GGA-PBE, the Alexandria database).

Properties
Density of states at the Fermi level   3.8 states/eV/f.u.
V   148.0 Å³/cell
Magnetic moment   0.306 μB per atom

Unit cell a=5.5120 b=5.5120 c=4.8697 alpha=90.00 beta=90.00 gamma=90.00
With the nearest neighbours (Å) after each atom.
Space group P4/mmm (No. 123)
Unique sites:
1 Ni 0.0000 0.0000 0.0000  2 Te 2.43
2 Te 0.0000 0.0000 0.5000  2 Ni 2.43
3 H 0.5000 0.5000 0.5000  8 I 3.68, 4 Te 3.90
4 I 0.0000 0.5000 0.0000  2 Ni 2.76

***

Of them, the most stable is arrangement 2 and the least stable is arrangement 1.

***

Arrangement 1

# HPbI2O

A relaxed HPbI2O crystal (GGA-PBE, the Alexandria database).

Properties
Density of states at the Fermi level   5.4 states/eV/f.u.
V   127.1 Å³/cell
Magnetic moment   0.151 μB per atom

Unit cell a=6.5681 b=6.5681 c=2.9464 alpha=90.00 beta=90.00 gamma=90.00
With the nearest neighbours (Å) after each atom.
Space group P4/mmm (No. 123)
Unique sites:
1 H 0.0000 0.0000 0.0000  2 O 1.47
2 Pb 0.5000 0.5000 0.5000  2 Pb 2.95
3 I 0.0000 0.5000 0.0000  2 I 2.95, 2 H 3.28
4 O 0.0000 0.0000 0.5000  2 H 1.47

***

Arrangement 2

# HPbI2O

A relaxed HPbI2O crystal (GGA-PBE, the Alexandria database).

Properties
Density of states at the Fermi level   5.2 states/eV/f.u.
V   169.5 Å³/cell
Magnetic moment   0.067 μB per atom

Unit cell a=6.3904 b=6.3904 c=4.1516 alpha=90.00 beta=90.00 gamma=90.00
With the nearest neighbours (Å) after each atom.
Space group P4/mmm (No. 123)
Unique sites:
1 H 0.0000 0.0000 0.0000  8 I 3.81, 2 H 4.15
2 Pb 0.5000 0.5000 0.5000  2 O 2.08
3 I 0.0000 0.5000 0.5000  2 Pb 3.20
4 O 0.5000 0.5000 0.0000  2 Pb 2.08

***

Of them, the most stable is arrangement 1 and the least stable is arrangement 2.